Crystalline CrTcO3 at its relaxed geometry. Source: Alexandria via LeMat-Bulk, functional PBE+U.

Summary:
Spin magnetization: 4.85 μB/cell
Raw total energy: -37.8 eV/f.u.
Crystal system: cubic
Space group: Pm-3m

Unit cell a=3.8571 b=3.8571 c=3.8571 alpha=90.00 beta=90.00 gamma=90.00
Each line ends with the local moment (μB).
Sites, in units of the cell vectors:
O  0.5000  0.0000  0.0000  -0.01
Cr  0.5000  0.5000  0.5000  4.41
O  0.0000  0.0000  0.5000  0.00
O  0.0000  0.5000  0.0000  -0.02
Tc  0.0000  0.0000  0.0000  0.19